Below is a relaxed SrLa2OsN4 crystal, with properties calculated at the PBE level.

```
16
Lattice="3.6049 0.0000 0.0000 -1.8025 6.2919 0.0000 0.0000 0.0000 12.3637" Properties=species:S:1:pos:R:3 pbc="T T T"
Sr 0.0000 1.4771 9.2728
Sr 1.8025 4.8148 3.0909
La 0.0000 4.6393 6.6162
La 1.8025 1.6525 0.4344
La 1.8025 1.6525 5.7475
La 0.0000 4.6393 11.9293
Os 1.8025 4.3230 9.2728
Os 0.0000 1.9689 3.0909
N 0.0000 3.2865 1.6250
N 1.8025 3.0053 7.8069
N 1.8025 3.0053 10.7387
N 0.0000 3.2865 4.5568
N 0.0000 0.0000 6.1818
N 0.0000 0.0000 0.0000
N 0.0000 5.1442 9.2728
N 1.8025 1.1476 3.0909
```

Summary:
uncorrected formation energy	-0.68	eV per atom
size of the total moment	0.00	μB/f.u.